A plane-wave DFT calculation with PBEsol was carried out for an optimized crystal structure of ZrOsSe4.

Values from the calculation:
symmetry = F-43m (216)
E = -5.23 eV per atom

a = 5.377 Å, b = 5.377 Å, c = 5.377 Å
α = 60.00°, β = 60.00°, γ = 60.00°
Each line ends with the local moment (μB).
Fractional positions:
Os  0.000  0.000  0.000  0.19
Se  0.374  0.374  0.374  0.00
Se  0.374  0.374  0.877  0.00
Se  0.877  0.374  0.374  0.00
Se  0.374  0.877  0.374  0.00
Zr  0.750  0.750  0.750  -0.01